Entry 1:
The following is a DFT calculation (GGA-PBE) of a geometry-optimized Sb2PtCl8 structure.

Lattice parameters (Å, degrees): 12.0395 6.2815 10.6121 90.00 104.69 90.00
With the nearest neighbours (Å) after each atom.
Space group C2/m (No. 12)
Inequivalent atoms, fractional coordinates:
Sb 0.1959 0.0000 0.3265 [4 per cell]  1 Cl 2.34
Pt 0.0000 0.0000 0.0000 [2 per cell]  4 Cl 2.30
Cl 0.1141 0.5000 0.6911 [4 per cell]  1 Sb 2.34
Cl 0.1266 0.2469 0.1158 [8 per cell]  1 Pt 2.30
Cl 0.2241 0.5000 0.4089 [4 per cell]  1 Sb 2.73

Summary:
VASP energy in eV/atom: -3.288
E_form (uncorrected) in eV per atom: -0.6464

***

Entry 2:
The following is a DFT calculation (GGA-PBE) of a geometry-optimized PuTc2As structure.

Lattice parameters (Å, degrees): 6.4266 6.4266 6.4266 90.00 90.00 90.00
With the nearest neighbours (Å) after each atom.
Space group Fm-3m (No. 225)
Inequivalent atoms, fractional coordinates:
Pu 0.0000 0.0000 0.0000 [4 per cell]  8 Tc 2.78
Tc 0.2500 0.2500 0.2500 [8 per cell]  4 As 2.78, 4 Pu 2.78
As 0.0000 0.0000 0.5000 [4 per cell]  8 Tc 2.78

Summary:
VASP energy in eV/atom: -10.041
Formation energy from the elements in kcal/mol of atoms: -2.6

***

Entry 3:
The following is a DFT calculation (GGA-PBE) of a geometry-optimized Ce2Se3 structure.

Lattice parameters (Å, degrees): 7.5171 7.5171 19.7052 90.00 90.00 120.00
With the nearest neighbours (Å) after each atom.
Space group R-3c (No. 167, hexagonal axes)
Inequivalent atoms, fractional coordinates:
Ce 0.0000 0.0000 0.1487 [12 per cell]  6 Se 2.95-2.99
Se 0.0000 0.2970 0.2500 [18 per cell]  4 Ce 2.95-2.99

Summary:
VASP energy in eV/atom: -6.217
E_form (uncorrected) in eV per atom: -1.7526

***

Entry 4:
The following is a DFT calculation (GGA-PBE) of a geometry-optimized LaCdCl2 structure.

Lattice parameters (Å, degrees): 4.7925 4.7925 8.6837 90.00 90.00 90.00
With the nearest neighbours (Å) after each atom.
Space group I4/mmm (No. 139)
Inequivalent atoms, fractional coordinates:
La 0.0000 0.0000 0.0000 [2 per cell]  8 Cl 3.23, 4 Cd 3.39
Cd 0.0000 0.0000 0.5000 [2 per cell]  8 Cl 3.23, 4 La 3.39
Cl 0.0000 0.5000 0.2500 [4 per cell]  4 Cd 3.23, 4 La 3.23, 4 Cl 3.39

Summary:
VASP energy in eV/atom: -3.596
E_form (uncorrected) in eV per atom: -1.2119

***

Entry 5:
The following is a DFT calculation (GGA-PBE) of a geometry-optimized Na2Cd4Ag3 structure.

Lattice parameters (Å, degrees): 5.7969 16.0805 8.9842 90.00 90.00 90.00
With the nearest neighbours (Å) after each atom.
Space group Cmce (No. 64)
Inequivalent atoms, fractional coordinates:
Na 0.0000 0.0980 0.1032 [8 per cell]  4 Ag 3.13-3.43, 4 Cd 3.33-3.34
Cd 0.0000 0.1842 0.4968 [8 per cell]  5 Ag 2.85-2.96
Cd 0.2500 0.0691 0.7500 [8 per cell]  3 Ag 2.89-2.91, 2 Cd 2.90
Ag 0.0000 0.0000 0.5000 [4 per cell]  6 Cd 2.89-2.96
Ag 0.2500 0.2499 0.2500 [8 per cell]  5 Cd 2.85-2.91, 2 Ag 2.90, 2 Na 3.13

Summary:
VASP energy in eV/atom: -1.716
Formation energy from the elements in kcal/mol of atoms: -1.5

***

Entry 6:
The following is a DFT calculation (GGA-PBE) of a geometry-optimized Cd3AgAu2 structure.

Lattice parameters (Å, degrees): 4.7583 14.4207 3.3986 90.00 90.00 90.00
With the nearest neighbours (Å) after each atom.
Space group Cmmm (No. 65)
Inequivalent atoms, fractional coordinates:
Cd 0.0000 0.0000 0.0000 [2 per cell]  4 Au 2.89, 4 Ag 2.92
Cd 0.0000 0.3300 0.0000 [4 per cell]  6 Au 2.93-2.96, 2 Ag 2.98
Ag 0.0000 0.5000 0.5000 [2 per cell]  8 Cd 2.92-2.98
Au 0.0000 0.1618 0.5000 [4 per cell]  8 Cd 2.89-2.96

Summary:
VASP energy in eV/atom: -2.161
Formation energy from the elements in kcal/mol of atoms: -3.1

***

Entry 7:
The following is a DFT calculation (GGA-PBE) of a geometry-optimized CaFeTeN2 structure.

Lattice parameters (Å, degrees): 3.9195 3.9195 5.3762 90.00 90.00 90.00
With the nearest neighbours (Å) after each atom.
Space group P4/mmm (No. 123)
Inequivalent atoms, fractional coordinates:
Ca 0.0000 0.0000 0.0000 [1 per cell]  4 Te 2.77
Fe 0.5000 0.5000 0.5000 [1 per cell]  4 N 1.96
Te 0.5000 0.5000 0.0000 [1 per cell]  2 Fe 2.69, 4 Ca 2.77
N 0.0000 0.5000 0.5000 [2 per cell]  2 Fe 1.96

Summary:
VASP energy in eV/atom: -5.567
E_form (uncorrected) in eV per atom: 0.4841

***

Entry 8:
The following is a DFT calculation (GGA-PBE) of a geometry-optimized SnGeBi structure.

Lattice parameters (Å, degrees): 3.2671 4.2520 6.5649 100.19 99.24 109.41
With the nearest neighbours (Å) after each atom.
Space group P1 (No. 1)
Inequivalent atoms, fractional coordinates:
Sn 0.0000 0.0000 0.0000 [1 per cell]  3 Ge 2.89-3.02
Ge 0.4820 0.6783 0.2789 [1 per cell]  3 Sn 2.89-3.02, 2 Bi 2.97-3.07
Bi 0.8476 0.3441 0.6046 [1 per cell]  2 Ge 2.97-3.07, 2 Sn 3.25-3.30, 2 Bi 3.27

Summary:
VASP energy in eV/atom: -4.009
Formation energy from the elements in kcal/mol of atoms: 3.6

***

Entry 9:
The following is a DFT calculation (GGA-PBE) of a geometry-optimized Er2Ga3PdPt4 structure.

Lattice parameters (Å, degrees): 3.9687 3.9687 11.8021 90.00 90.00 90.00
With the nearest neighbours (Å) after each atom.
Space group P-4m2 (No. 115)
Inequivalent atoms, fractional coordinates:
Er 0.0000 0.5000 0.2363 [2 per cell]  4 Pt 2.94, 4 Ga 3.21
Ga 0.0000 0.0000 0.0000 [1 per cell]  4 Pt 2.75, 4 Pd 2.81
Ga 0.0000 0.5000 0.6319 [2 per cell]  5 Pt 2.44-2.52
Pd 0.5000 0.5000 0.0000 [1 per cell]  4 Pt 2.75, 4 Ga 2.81
Pt 0.0000 0.0000 0.5000 [1 per cell]  4 Ga 2.52, 4 Pt 2.81
Pt 0.0000 0.5000 0.8387 [2 per cell]  1 Ga 2.44
Pt 0.5000 0.5000 0.5000 [1 per cell]  4 Ga 2.52, 4 Pt 2.81

Summary:
VASP energy in eV/atom: -5.670
Formation energy from the elements in kcal/mol of atoms: -21.1

***

Entry 10:
The following is a DFT calculation (GGA-PBE) of a geometry-optimized BaBeTlAu2 structure.

Lattice parameters (Å, degrees): 4.9483 4.9483 4.9373 90.00 90.00 90.00
With the nearest neighbours (Å) after each atom.
Space group P4/mmm (No. 123)
Inequivalent atoms, fractional coordinates:
Ba 0.0000 0.0000 0.0000 [1 per cell]  8 Au 3.50, 4 Tl 3.50
Be 0.5000 0.5000 0.5000 [1 per cell]  2 Tl 2.47, 4 Au 2.47
Tl 0.5000 0.5000 0.0000 [1 per cell]  2 Be 2.47
Au 0.0000 0.5000 0.5000 [2 per cell]  2 Be 2.47

Summary:
VASP energy in eV/atom: -3.165
Formation energy from the elements in kcal/mol of atoms: -5.8

***

Entry 11:
The following is a DFT calculation (GGA-PBE) of a geometry-optimized PmSm2Pt2 structure.

Lattice parameters (Å, degrees): 7.9293 7.9293 4.0187 90.00 90.00 90.00
With the nearest neighbours (Å) after each atom.
Space group P4/mbm (No. 127)
Inequivalent atoms, fractional coordinates:
Pm 0.0000 0.0000 0.0000 [2 per cell]  4 Pt 3.09
Sm 0.1626 0.3374 0.5000 [4 per cell]  6 Pt 3.04-3.10
Pt 0.1345 0.6345 0.0000 [4 per cell]  1 Pt 3.02, 6 Sm 3.04-3.10, 2 Pm 3.09

Summary:
VASP energy in eV/atom: -6.216
Formation energy from the elements in kcal/mol of atoms: -22.2

***

Entry 12:
The following is a DFT calculation (GGA-PBE) of a geometry-optimized Tc2HgPt structure.

Lattice parameters (Å, degrees): 2.8280 2.8280 28.0314 90.00 90.00 120.00
With the nearest neighbours (Å) after each atom.
Space group R-3m (No. 166, hexagonal axes)
Inequivalent atoms, fractional coordinates:
Tc 0.0000 0.0000 0.2453 [6 per cell]  3 Pt 2.74, 6 Tc 2.83, 3 Hg 2.96
Hg 0.0000 0.0000 0.0000 [3 per cell]  6 Hg 2.83, 6 Tc 2.96
Pt 0.0000 0.0000 0.5000 [3 per cell]  6 Tc 2.74, 6 Pt 2.83

Summary:
VASP energy in eV/atom: -6.422
Formation energy from the elements in kcal/mol of atoms: 8.0

***

Entry 13:
The following is a DFT calculation (GGA-PBE) of a geometry-optimized CaZnBr2 structure.

Lattice parameters (Å, degrees): 20.0129 3.8350 4.1347 90.00 101.73 90.00
With the nearest neighbours (Å) after each atom.
Space group Cm (No. 8)
Inequivalent atoms, fractional coordinates:
Ca 0.0000 0.0000 0.0000 [2 per cell]  6 Br 2.77-3.08
Zn 0.2521 0.0000 0.7460 [2 per cell]  4 Zn 3.83-4.13, 6 Br 4.07-4.20
Br 0.1022 0.5000 0.0988 [2 per cell]  2 Ca 2.77
Br 0.4373 0.0000 0.4378 [2 per cell]  4 Ca 3.07-3.08

Summary:
VASP energy in eV/atom: -2.802
E_form (uncorrected) in eV per atom: -1.1463

***

Entry 14:
The following is a DFT calculation (GGA-PBE) of a geometry-optimized SiMoRu2 structure.

Lattice parameters (Å, degrees): 2.7757 2.7757 25.4746 90.00 90.00 120.00
With the nearest neighbours (Å) after each atom.
Space group R3m (No. 160, hexagonal axes)
Inequivalent atoms, fractional coordinates:
Si 0.0000 0.0000 0.0000 [3 per cell]  3 Ru 2.49, 3 Mo 2.69, 6 Si 2.78
Mo 0.0000 0.0000 0.2486 [3 per cell]  3 Ru 2.68, 3 Si 2.69, 6 Mo 2.78
Ru 0.0000 0.0000 0.4977 [3 per cell]  3 Mo 2.68, 9 Ru 2.78-2.79
Ru 0.0000 0.0000 0.7412 [3 per cell]  3 Si 2.49, 6 Ru 2.78

Summary:
VASP energy in eV/atom: -8.749
E_form (uncorrected) in eV per atom: -0.0475

***

Entry 15:
The following is a DFT calculation (GGA-PBE) of a geometry-optimized Rb2CeBi2S6 structure.

Lattice parameters (Å, degrees): 7.1495 12.3549 8.2627 90.00 107.43 90.00
With the nearest neighbours (Å) after each atom.
Space group C2/m (No. 12)
Inequivalent atoms, fractional coordinates:
Rb 0.0000 0.1700 0.0000 [4 per cell]  6 S 3.38-3.41
Ce 0.0000 0.0000 0.5000 [2 per cell]  6 S 2.73-2.77
Bi 0.0000 0.3322 0.5000 [4 per cell]  6 S 2.82-2.87
S 0.2272 0.1634 0.6914 [8 per cell]  1 Ce 2.77, 2 Bi 2.82-2.86
S 0.2467 0.5000 0.6908 [4 per cell]  1 Ce 2.73, 2 Bi 2.87

Summary:
VASP energy in eV/atom: -4.747
E_form (uncorrected) in eV per atom: -1.0746

***

Entry 16:
The following is a DFT calculation (GGA-PBE) of a geometry-optimized Al5CrRu6 structure.

Lattice parameters (Å, degrees): 4.2298 12.6831 6.0135 90.00 90.00 90.00
With the nearest neighbours (Å) after each atom.
Space group Cmmm (No. 65)
Inequivalent atoms, fractional coordinates:
Al 0.0000 0.0000 0.0000 [2 per cell]  8 Ru 2.58-2.61
Al 0.0000 0.3328 0.5000 [4 per cell]  8 Ru 2.59-2.61
Al 0.0000 0.3336 0.0000 [4 per cell]  8 Ru 2.60-2.62
Cr 0.0000 0.0000 0.5000 [2 per cell]  8 Ru 2.57-2.58
Ru 0.0000 0.1644 0.2514 [8 per cell]  1 Cr 2.57, 7 Al 2.58-2.62
Ru 0.0000 0.5000 0.2534 [4 per cell]  2 Cr 2.58, 6 Al 2.59-2.61

Summary:
VASP energy in eV/atom: -7.569
Formation energy from the elements in kcal/mol of atoms: -13.1

***

Entry 17:
The following is a DFT calculation (GGA-PBE) of a geometry-optimized SrHfTc2F structure.

Lattice parameters (Å, degrees): 4.5476 4.5476 4.4644 90.00 90.00 90.00
With the nearest neighbours (Å) after each atom.
Space group P4/mmm (No. 123)
Inequivalent atoms, fractional coordinates:
Sr 0.0000 0.0000 0.0000 [1 per cell]  2 F 2.23
Hf 0.5000 0.5000 0.0000 [1 per cell]  8 Tc 3.19, 4 Sr 3.22
Tc 0.0000 0.5000 0.5000 [2 per cell]  2 F 2.27
F 0.0000 0.0000 0.5000 [1 per cell]  2 Sr 2.23, 4 Tc 2.27

Summary:
VASP energy in eV/atom: -6.448
E_form (uncorrected) in eV per atom: 0.3998

***

Entry 18:
The following is a DFT calculation (GGA-PBE) of a geometry-optimized KMgCr2 structure.

Lattice parameters (Å, degrees): 4.8006 4.8006 8.8994 90.00 90.00 90.00
With the nearest neighbours (Å) after each atom.
Space group I4/mmm (No. 139)
Inequivalent atoms, fractional coordinates:
K 0.0000 0.0000 0.0000 [2 per cell]  8 Cr 3.27, 4 Mg 3.39
Mg 0.0000 0.0000 0.5000 [2 per cell]  8 Cr 3.27, 4 K 3.39
Cr 0.0000 0.5000 0.2500 [4 per cell]  4 K 3.27, 4 Mg 3.27, 4 Cr 3.39

Summary:
VASP energy in eV/atom: -4.366
Formation energy from the elements in kcal/mol of atoms: 25.8

***

Entry 19:
The following is a DFT calculation (GGA-PBE) of a geometry-optimized Pa2Al2CoSi4 structure.

Lattice parameters (Å, degrees): 6.0444 6.0444 8.2456 90.00 90.00 90.00
With the nearest neighbours (Å) after each atom.
Space group I4/mmm (No. 139)
Inequivalent atoms, fractional coordinates:
Pa 0.0000 0.5000 0.2500 [4 per cell]  8 Si 2.98, 4 Al 3.04
Al 0.0000 0.0000 0.2135 [4 per cell]  1 Co 2.36, 4 Si 2.63
Co 0.0000 0.0000 0.5000 [2 per cell]  4 Si 2.32, 2 Al 2.36
Si 0.2282 0.2282 0.0000 [8 per cell]  1 Co 2.32

Summary:
VASP energy in eV/atom: -6.606
E_form (uncorrected) in eV per atom: -0.4648

***

Entry 20:
The following is a DFT calculation (GGA-PBE) of a geometry-optimized Zr2CrIrN structure.

Lattice parameters (Å, degrees): 4.5497 4.5497 3.6691 90.00 90.00 90.00
With the nearest neighbours (Å) after each atom.
Space group P4/mmm (No. 123)
Inequivalent atoms, fractional coordinates:
Zr 0.0000 0.5000 0.0000 [2 per cell]  2 N 2.27
Cr 0.0000 0.0000 0.5000 [1 per cell]  2 N 1.83
Ir 0.5000 0.5000 0.5000 [1 per cell]  8 Zr 2.92, 4 Cr 3.22
N 0.0000 0.0000 0.0000 [1 per cell]  2 Cr 1.83

Summary:
VASP energy in eV/atom: -9.638
E_form (uncorrected) in eV per atom: -0.8571